# 1
MnNi2SbH: relaxed, PBE-GGA.

Properties
Its energy is -28.56 eV for the cell shown. The space group is No. 123. The calculated density comes out at 8645 kg/m3.

Cell lengths 3.807, 3.807, 3.912 Å; angles 90.00, 90.00, 90.00 degrees
Element x y z (fractional)
Sb: 0.500 0.500 0.500
Mn: 0.000 0.000 0.500
H: 0.000 0.000 0.000
Ni: 0.000 0.500 0.000
Ni: 0.500 0.000 0.000

***

# 2
Rb2SrUTe4: relaxed, PBE-GGA.

Properties
Its energy is -36.46 eV for the cell shown. The formation energy (no corrections) comes out at -1123 meV per atom. The space group is No. 10. The calculated density comes out at 5117 kg/m3.

Cell lengths 4.696, 8.190, 8.907 Å; angles 107.46, 90.00, 90.00 degrees
Element x y z (fractional)
Rb: 0.500 0.000 0.500
Rb: 0.000 0.500 0.500
Sr: 0.500 0.500 0.000
U: 0.000 0.000 0.000
Te: 0.500 0.213 0.199
Te: 0.500 0.787 0.801
Te: 0.000 0.240 0.795
Te: 0.000 0.760 0.205

***

# 3
MgPb3: relaxed, PBE-GGA.

Properties
Its energy is -12.70 eV for the cell shown. The space group is No. 139. The calculated density comes out at 9140 kg/m3. The energy of formation is 0.1 kcal/mol of atoms.

Cell lengths 6.042, 6.042, 6.042 Å; angles 132.58, 132.58, 69.32 degrees
Element x y z (fractional)
Pb: 0.250 0.750 0.500
Pb: 0.500 0.500 0.000
Pb: 0.750 0.250 0.500
Mg: 0.000 0.000 0.000

***

# 4
PmDyBiPd: relaxed, PBE-GGA.

Properties
Its energy is -21.01 eV for the cell shown. The space group is No. 216. The calculated density comes out at 9914 kg/m3. The energy of formation is -14.9 kcal/mol of atoms.

Cell lengths 5.284, 5.284, 5.284 Å; angles 60.00, 60.00, 60.00 degrees
Element x y z (fractional)
Pm: 0.750 0.750 0.750
Bi: 0.500 0.500 0.500
Pd: 0.000 0.000 0.000
Dy: 0.250 0.250 0.250

***

# 5
Nd3SeO3: relaxed, PBE-GGA.

Properties
Its energy is -106.15 eV for the cell shown. The formation energy (no corrections) comes out at -2916 meV per atom. The space group is No. 148. The calculated density comes out at 6392 kg/m3.

Cell lengths 6.918, 6.918, 8.074 Å; angles 64.63, 64.63, 60.00 degrees
Element x y z (fractional)
Nd: 0.236 0.573 0.287
Nd: 0.905 0.236 0.287
Nd: 0.573 0.905 0.287
Nd: 0.427 0.095 0.713
Nd: 0.095 0.764 0.713
Nd: 0.764 0.427 0.713
Se: 0.333 0.333 0.000
Se: 0.667 0.667 0.000
O: 0.456 0.792 0.628
O: 0.792 0.124 0.628
O: 0.124 0.456 0.628
O: 0.876 0.544 0.372
O: 0.208 0.876 0.372
O: 0.544 0.208 0.372

***

# 6
La2Cd2Ni15: relaxed, PBE-GGA.

Properties
Its energy is -100.76 eV for the cell shown. The space group is No. 166. The calculated density comes out at 8667 kg/m3. The energy of formation is -2.9 kcal/mol of atoms.

Cell lengths 6.468, 6.468, 6.468 Å; angles 82.98, 82.98, 82.98 degrees
Element x y z (fractional)
La: 0.352 0.352 0.352
La: 0.648 0.648 0.648
Cd: 0.104 0.104 0.104
Cd: 0.896 0.896 0.896
Ni: 0.500 0.000 0.000
Ni: 0.000 0.000 0.500
Ni: 0.000 0.500 0.000
Ni: 0.000 0.699 0.301
Ni: 0.699 0.301 0.000
Ni: 0.301 0.000 0.699
Ni: 0.301 0.699 0.000
Ni: 0.699 0.000 0.301
Ni: 0.000 0.301 0.699
Ni: 0.159 0.655 0.655
Ni: 0.655 0.655 0.159
Ni: 0.655 0.159 0.655
Ni: 0.841 0.345 0.345
Ni: 0.345 0.345 0.841
Ni: 0.345 0.841 0.345

***

Record order is preserved below.
Calculated volume: 11.3; 40.9; 29.3; 26.1; 20.8; 13.9 A^3/atom